Record 1
Computed, not measured: a relaxed Al2ZnW crystal at the PBE-GGA level of DFT.

Geometry as extended XYZ:
```
4
Lattice="2.702 0.000 0.000 0.000 4.433 0.000 -0.420 0.000 5.133" Properties=species:S:1:pos:R:3 pbc="T T T"
Al 0.199 0.000 1.265
Al 2.083 0.000 3.867
Zn -0.210 2.216 2.566
W 1.351 2.216 0.000
```

Computed properties:
Its energy is -5.3861 eV/atom. Its formation energy from the elements is 0.04 eV per atom. As for the space group: P2/m (10).

Record 2
Computed, not measured: a relaxed AlZn3W crystal at the PBE-GGA level of DFT.

Geometry as extended XYZ:
```
5
Lattice="4.943 0.000 0.000 0.000 4.943 0.000 0.000 0.000 4.943" Properties=species:S:1:pos:R:3 pbc="T T T"
Al 0.000 0.000 0.000
Zn 0.000 2.471 2.471
Zn 2.471 0.000 2.471
Zn 2.471 2.471 0.000
W 2.471 2.471 2.471
```

Computed properties:
Its energy is -2.8718 eV/atom. Its formation energy from the elements is 1.23 eV per atom. As for the space group: Pm-3m (221). The excess energy over the best structure of this formula in the dataset comes out at 0.000 kcal/mol of atoms.

Record 3
Computed, not measured: a relaxed Al3ZnW crystal at the PBE-GGA level of DFT.

Geometry as extended XYZ:
```
5
Lattice="4.518 0.000 0.000 0.000 4.518 0.000 0.000 0.000 4.518" Properties=species:S:1:pos:R:3 pbc="T T T"
Al 0.000 0.000 2.259
Al 0.000 2.259 0.000
Al 2.259 0.000 0.000
Zn 0.000 0.000 0.000
W 2.259 2.259 2.259
```

Computed properties:
Its energy is -3.8895 eV/atom. Its formation energy from the elements is 1.20 eV per atom. As for the space group: Pm-3m (221). The excess energy over the best structure of this formula in the dataset comes out at 24.972 kcal/mol of atoms.